Here is a relaxed ReIrOs2 crystal from Alexandria via LeMat-Bulk. Energies are from PBEsol.

Results
DFT total energy	-11.880	eV/atom
formation enthalpy at 0 K	0.017	eV per atom
magnetization	0.0	μB/f.u.

```
data_ReIrOs2
_symmetry_space_group_name_H-M 'C 1 2/m 1'
_symmetry_Int_Tables_number 12
_cell_length_a 9.000
_cell_length_b 2.708
_cell_length_c 4.713
_cell_angle_alpha 90.00
_cell_angle_beta 100.01
_cell_angle_gamma 90.00
loop_
_symmetry_equiv_pos_as_xyz
'x,y,z'
'-x,-y,-z'
'-x,y,-z'
'x,-y,z'
'x+1/2,y+1/2,z'
'-x+1/2,-y+1/2,-z'
'-x+1/2,y+1/2,-z'
'x+1/2,-y+1/2,z'
loop_
_atom_site_label
_atom_site_type_symbol
_atom_site_fract_x
_atom_site_fract_y
_atom_site_fract_z
Re1 Re 0.000 0.000 0.000
Ir1 Ir 0.000 0.500 0.500
Os1 Os 0.248 0.500 0.247
```